Here is a relaxed CaV2NiO6 crystal from Alexandria. Energies are from PBE with a Hubbard U.

Symmetry = C2/c, No. 15
Raw total energy = -6.88 eV per atom

Cell and atoms, written as CIF:
```
data_CaV2NiO6
_cell_length_a 5.228
_cell_length_b 7.044
_cell_length_c 7.044
_cell_angle_alpha 76.55
_cell_angle_beta 72.38
_cell_angle_gamma 72.38
_space_group_name_H-M_alt 'P 1'
_space_group_IT_number 1
_space_group_name_Hall 'P 1'
loop_
_atom_site_label
_atom_site_type_symbol
_atom_site_fract_x
_atom_site_fract_y
_atom_site_fract_z
Ca1 Ca 0.250 0.324 0.676
Ca2 Ca 0.750 0.676 0.324
V1 V 0.074 0.854 0.626
V2 V 0.426 0.374 0.146
V3 V 0.926 0.146 0.374
V4 V 0.574 0.626 0.854
Ni1 Ni 0.250 0.930 0.070
Ni2 Ni 0.750 0.070 0.930
O1 O 0.164 0.982 0.792
O2 O 0.336 0.208 0.018
O3 O 0.836 0.018 0.208
O4 O 0.664 0.792 0.982
O5 O 0.270 0.918 0.365
O6 O 0.230 0.635 0.082
O7 O 0.730 0.082 0.635
O8 O 0.770 0.365 0.918
O9 O 0.899 0.671 0.618
O10 O 0.601 0.382 0.329
O11 O 0.101 0.329 0.382
O12 O 0.399 0.618 0.671
```